The following is a DFT calculation (PBE with a Hubbard U) of PaFe2PtO8 after structural relaxation.

Unit cell a=5.904 b=5.904 c=5.904 alpha=110.84 beta=110.84 gamma=106.76
Each line ends with the local moment (μB).
Positions (direct):
Pa  0.250  0.750  0.500  0.14
Fe  0.750  0.250  0.500  4.17
Fe  0.500  0.500  0.000  4.07
Pt  0.000  0.000  0.000  -0.98
O  0.348  0.050  0.298  -0.05
O  0.321  0.517  0.196  -0.05
O  0.321  0.125  0.804  -0.05
O  0.751  0.050  0.702  -0.05
O  0.875  0.679  0.196  -0.05
O  0.950  0.249  0.298  -0.05
O  0.950  0.652  0.702  -0.05
O  0.483  0.679  0.804  -0.05

Properties
- Total moment: 6.98 Bohr magnetons per cell
- Final energy: -83.38 eV per cell